Entry w
The following is a PBE-GGA calculation of a geometry-optimized NdHo6Al2 structure, from Alexandria.

Unit cell a=14.194 b=14.194 c=14.194 alpha=160.66 beta=160.66 gamma=27.49
Fractional positions:
Nd: 0.000 0.000 0.000
Ho: 0.144 0.648 0.000
Ho: 0.250 0.750 0.500
Ho: 0.352 0.352 0.496
Ho: 0.648 0.144 0.000
Ho: 0.750 0.250 0.500
Ho: 0.856 0.856 0.504
Al: 0.314 0.314 0.000
Al: 0.686 0.686 0.000

## Properties
**Space group**: I-42m, No. 121

=====

Entry x
The following is a PBE-GGA calculation of a geometry-optimized NdHo6Al2 structure, from Alexandria.

Unit cell a=6.509 b=6.509 c=11.730 alpha=107.52 beta=107.52 gamma=32.86
Fractional positions:
Nd: 0.000 0.000 0.000
Ho: 0.019 0.019 0.334
Ho: 0.310 0.310 0.126
Ho: 0.310 0.310 0.415
Ho: 0.690 0.690 0.585
Ho: 0.690 0.690 0.874
Ho: 0.981 0.981 0.666
Al: 0.350 0.350 0.785
Al: 0.650 0.650 0.215

## Properties
**Space group**: C2/m, No. 12

=====

Most stable to least stable, the ends of the list are entry x and entry w.